[1]
KTc2BiCl: PBEsol geometry, meta-GGA SCAN.

Cell and atoms, written as POSCAR:
```
KTc2BiCl
1.0
-2.234 -3.822 0.231
1.674 -0.735 4.039
-4.098 2.526 2.158
K Cl Bi Tc
1 1 1 2
direct
0.000 0.000 0.500
0.000 0.000 0.000
0.500 0.500 0.500
0.000 0.500 0.000
0.500 0.000 0.000
```

Computed properties:
The total magnetic moment comes out at 0.0 μB/cell. As for the space group: P4/mmm, No. 123. The calculation puts the uncorrected formation energy at 1.0088 eV per atom.

---

[2]
LaBiCl2O: PBEsol geometry, meta-GGA SCAN.

Cell and atoms, written as POSCAR:
```
LaBiCl2O
1.0
-0.550 -4.411 -1.561
2.004 1.218 -4.150
4.289 -1.149 1.734
Cl Bi O La
2 1 1 1
direct
0.000 0.000 0.500
0.000 0.500 0.000
0.500 0.000 0.000
0.000 0.000 0.000
0.500 0.500 0.500
```

Computed properties:
The total magnetic moment comes out at 0.2 μB/cell. As for the space group: P4/mmm, No. 123. The calculation puts the uncorrected formation energy at -0.7479 eV per atom.

---

[3]
LaBiPCl2: PBEsol geometry, meta-GGA SCAN.

Cell and atoms, written as POSCAR:
```
LaBiPCl2
1.0
5.276 0.000 0.000
0.000 5.276 0.000
0.000 0.000 5.947
P Cl Bi La
1 2 1 1
direct
0.000 0.000 0.500
0.000 0.500 0.000
0.500 0.000 0.000
0.500 0.500 0.500
0.000 0.000 0.000
```

Computed properties:
The total magnetic moment comes out at 1.0 μB/cell. As for the space group: P4/mmm, No. 123. The calculation puts the uncorrected formation energy at -0.8106 eV per atom.

---

[4]
LaBiS2Cl: PBEsol geometry, meta-GGA SCAN.

Cell and atoms, written as POSCAR:
```
LaBiS2Cl
1.0
5.240 0.000 0.000
0.000 5.489 0.000
0.000 0.000 5.489
S Cl Bi La
2 1 1 1
direct
0.000 0.000 0.500
0.000 0.500 0.000
0.500 0.000 0.000
0.500 0.500 0.500
0.000 0.000 0.000
```

Computed properties:
The total magnetic moment comes out at 0.0 μB/cell. As for the space group: P4/mmm, No. 123. The calculation puts the uncorrected formation energy at -0.8188 eV per atom.

---

[5]
LiBiCl2: PBEsol geometry, meta-GGA SCAN.

Cell and atoms, written as POSCAR:
```
LiBiCl2
1.0
3.564 0.000 0.000
1.782 3.086 0.000
1.782 1.029 8.193
Cl Bi Li
2 1 1
direct
0.890 0.890 0.330
0.110 0.110 0.670
0.000 0.000 0.000
0.500 0.500 0.500
```

Computed properties:
The excess energy over the best structure of this formula in the dataset comes out at 0.000 eV/f.u. The total magnetic moment comes out at 0.0 μB/cell. As for the space group: R-3m, No. 166. The calculation puts the uncorrected formation energy at -1.2654 eV per atom.

---

[6]
LiBiCl2: PBEsol geometry, meta-GGA SCAN.

Cell and atoms, written as POSCAR:
```
LiBiCl2
1.0
-1.830 6.858 -0.058
-3.862 -4.713 -1.044
-5.744 -1.500 3.891
Li Bi Cl
2 2 4
direct
0.250 0.500 0.250
0.500 0.000 0.500
0.750 0.500 0.750
0.000 0.000 0.000
0.191 0.750 0.875
0.559 0.750 0.375
0.375 0.250 0.191
0.875 0.250 0.559
```

Computed properties:
The excess energy over the best structure of this formula in the dataset comes out at 1.884 eV/f.u. The total magnetic moment comes out at 0.0 μB/cell. As for the space group: I-42d, No. 122. The calculation puts the uncorrected formation energy at -0.7944 eV per atom.

---

[7]
Rb2LiBiCl6: PBEsol geometry, meta-GGA SCAN.

Cell and atoms, written as POSCAR:
```
Rb2LiBiCl6
1.0
7.350 0.000 0.000
3.675 6.365 0.000
3.675 2.122 6.001
Li Bi Rb Cl
1 1 2 6
direct
0.500 0.500 0.500
0.000 0.000 0.000
0.750 0.750 0.750
0.250 0.250 0.250
0.742 0.258 0.258
0.742 0.742 0.258
0.258 0.742 0.742
0.742 0.258 0.742
0.258 0.742 0.258
0.258 0.258 0.742
```

Computed properties:
The total magnetic moment comes out at 0.0 μB/cell. As for the space group: Fm-3m, No. 225. The calculation puts the uncorrected formation energy at -1.7073 eV per atom.

---

[8]
LuBi2ClO4: PBEsol geometry, meta-GGA SCAN.

Cell and atoms, written as POSCAR:
```
LuBi2ClO4
1.0
3.805 0.000 0.000
0.000 3.805 0.000
0.000 0.000 8.780
Lu Bi O Cl
1 2 4 1
direct
0.000 0.000 0.000
0.500 0.500 0.280
0.500 0.500 0.720
0.500 0.000 0.850
0.000 0.500 0.850
0.500 0.000 0.150
0.000 0.500 0.150
0.000 0.000 0.500
```

Computed properties:
The total magnetic moment comes out at 0.0 μB/cell. As for the space group: P4/mmm, No. 123. The calculation puts the uncorrected formation energy at -2.1484 eV per atom.